MnSb2NF: relaxed, PBE with a Hubbard U.

- Total DFT energy (no corrections): -4.38 eV/atom

Cell: 4.6179 4.6179 4.5830 Å, 90.00 90.00 90.00°
With the nearest neighbours (Å) after each atom.
Positions (direct):
Mn: 0.0000 0.0000 0.0000  8 Sb 3.25, 4 N 3.27
Sb: 0.0000 0.5000 0.5000  2 F 2.31
Sb: 0.5000 0.0000 0.5000  2 F 2.31
N: 0.5000 0.5000 0.0000  2 F 2.29
F: 0.5000 0.5000 0.5000  2 N 2.29, 4 Sb 2.31